## Li2FeS2O8 (PBE with a Hubbard U)

Data for a relaxed Li2FeS2O8 crystal.

a b c (Å): 5.0621 8.2926 9.0116
angles (deg): 90.00 121.87 90.00
Element x y z (fractional)
Li 0.0094 0.1359 0.1007
Li 0.0094 0.3641 0.6007
Li 0.9906 0.6359 0.3993
Li 0.9906 0.8641 0.8993
Fe 0.0000 0.0000 0.5000
Fe 0.0000 0.5000 0.0000
S 0.3318 0.6950 0.8014
S 0.3318 0.8050 0.3014
S 0.6682 0.1950 0.6986
S 0.6682 0.3050 0.1986
O 0.1770 0.5824 0.6527
O 0.1770 0.9176 0.1527
O 0.2047 0.6382 0.2474
O 0.2047 0.8618 0.7474
O 0.2793 0.6490 0.9438
O 0.2793 0.8510 0.4438
O 0.3250 0.1948 0.6267
O 0.3250 0.3052 0.1267
O 0.6750 0.6948 0.8733
O 0.6750 0.8052 0.3733
O 0.7207 0.1490 0.5562
O 0.7207 0.3510 0.0562
O 0.7953 0.1382 0.2526
O 0.7953 0.3618 0.7526
O 0.8230 0.0824 0.8473
O 0.8230 0.4176 0.3473

Computed properties:
VASP energy = -6.122 eV/atom
space-group type = No. 14